(1)
# Dy6Er12Sc, relaxed, DFT GGA-PBE
# Offset from the most stable computed form ... 0 meV per atom
# Volume ... 1791.0 Å³ per cell
# Crystal system ... trigonal
# Theoretical density ... 8.42 g cm⁻³
# Formation energy from the elements ... 175 meV/atom
data_Dy6Er12Sc
_chemical_formula_sum 'Dy18 Er36 Sc3'
_cell_length_a 12.0858
_cell_length_b 12.0858
_cell_length_c 14.1589
_cell_angle_alpha 90.00
_cell_angle_beta 90.00
_cell_angle_gamma 120.00
_space_group_name_H-M_alt 'R -3'
_space_group_IT_number 148
_space_group_name_Hall '-R 3'
loop_
_atom_site_label
_atom_site_type_symbol
_atom_site_fract_x
_atom_site_fract_y
_atom_site_fract_z
Dy1 Dy 0.0267 0.4371 0.2081
Er1 Er 0.0398 0.1807 0.3100
Er2 Er 0.0674 0.8698 0.9068
Sc1 Sc 0.0000 0.0000 0.5000


(2)
# DyEr4Sc3, relaxed, DFT GGA-PBE
# Offset from the most stable computed form ... 0 meV per atom
# Volume ... 456.2 Å³ per cell
# Crystal system ... orthorhombic
# Theoretical density ... 7.04 g cm⁻³
# Formation energy from the elements ... 19 meV/atom
data_DyEr4Sc3
_chemical_formula_sum 'Dy2 Er8 Sc6'
_cell_length_a 10.8305
_cell_length_b 6.9812
_cell_length_c 6.0335
_cell_angle_alpha 90.00
_cell_angle_beta 90.00
_cell_angle_gamma 90.00
_space_group_name_H-M_alt 'P m n 21'
_space_group_IT_number 31
_space_group_name_Hall 'P 2ac -2'
loop_
_atom_site_label
_atom_site_type_symbol
_atom_site_fract_x
_atom_site_fract_y
_atom_site_fract_z
Dy1 Dy 0.0000 0.1189 0.0000
Er1 Er 0.0000 0.3696 0.4961
Er2 Er 0.0000 0.6299 0.9902
Er3 Er 0.2463 0.6306 0.3326
Sc1 Sc 0.0000 0.8791 0.5003
Sc2 Sc 0.2492 0.1206 0.3289


(3)
# Dy3Er2Sc4, relaxed, DFT GGA-PBE
# Volume ... 1010.5 Å³ per cell
# Crystal system ... monoclinic
# Theoretical density ... 6.59 g cm⁻³
# Formation energy from the elements ... 117 meV/atom
data_Dy3Er2Sc4
_chemical_formula_sum 'Dy12 Er8 Sc16'
_cell_length_a 15.8649
_cell_length_b 11.0369
_cell_length_c 5.8064
_cell_angle_alpha 90.00
_cell_angle_beta 96.32
_cell_angle_gamma 90.00
_space_group_name_H-M_alt 'C 1 2/c 1'
_space_group_IT_number 15
_space_group_name_Hall '-C 2yc'
loop_
_atom_site_label
_atom_site_type_symbol
_atom_site_fract_x
_atom_site_fract_y
_atom_site_fract_z
Dy1 Dy 0.0000 0.1041 0.2500
Dy2 Dy 0.1618 0.4020 0.1140
Er1 Er 0.1277 0.1387 0.8136
Sc1 Sc 0.0428 0.3630 0.5225
Sc2 Sc 0.2228 0.1408 0.3447


(4)
# DyEr6Sc12, relaxed, DFT GGA-PBE
# Offset from the most stable computed form ... 151 meV per atom
# Volume ... 1575.7 Å³ per cell
# Crystal system ... trigonal
# Theoretical density ... 5.39 g cm⁻³
# Formation energy from the elements ... 308 meV/atom
data_DyEr6Sc12
_chemical_formula_sum 'Dy3 Er18 Sc36'
_cell_length_a 14.7510
_cell_length_b 14.7510
_cell_length_c 8.3616
_cell_angle_alpha 90.00
_cell_angle_beta 90.00
_cell_angle_gamma 120.00
_space_group_name_H-M_alt 'R -3 m'
_space_group_IT_number 166
_space_group_name_Hall '-R 3 2"'
loop_
_atom_site_label
_atom_site_type_symbol
_atom_site_fract_x
_atom_site_fract_y
_atom_site_fract_z
Dy1 Dy 0.0000 0.0000 0.0000
Er1 Er 0.0885 0.5442 0.6126
Sc1 Sc 0.0000 0.2846 0.5000
Sc2 Sc 0.0726 0.1451 0.3230


(5)
# Dy3Er4Sc, relaxed, DFT GGA-PBE
# Offset from the most stable computed form ... 80 meV per atom
# Volume ... 956.7 Å³ per cell
# Crystal system ... tetragonal
# Theoretical density ... 8.34 g cm⁻³
# Formation energy from the elements ... 90 meV/atom
data_Dy3Er4Sc
_chemical_formula_sum 'Dy12 Er16 Sc4'
_cell_length_a 8.7227
_cell_length_b 8.7227
_cell_length_c 12.5741
_cell_angle_alpha 90.00
_cell_angle_beta 90.00
_cell_angle_gamma 90.00
_space_group_name_H-M_alt 'I 4/m c m'
_space_group_IT_number 140
_space_group_name_Hall '-I 4 2c'
loop_
_atom_site_label
_atom_site_type_symbol
_atom_site_fract_x
_atom_site_fract_y
_atom_site_fract_z
Dy1 Dy 0.0000 0.0000 0.2500
Dy2 Dy 0.1468 0.3532 0.0000
Er1 Er 0.1507 0.3493 0.3374
Sc1 Sc 0.0000 0.0000 0.0000


(6)
# Dy4ErSc5, relaxed, DFT GGA-PBE
# Offset from the most stable computed form ... 10 meV per atom
# Volume ... 585.0 Å³ per cell
# Crystal system ... monoclinic
# Theoretical density ... 5.92 g cm⁻³
# Formation energy from the elements ... 250 meV/atom
data_Dy4ErSc5
_chemical_formula_sum 'Dy8 Er2 Sc10'
_cell_length_a 14.6701
_cell_length_b 5.3357
_cell_length_c 9.6800
_cell_angle_alpha 90.00
_cell_angle_beta 129.46
_cell_angle_gamma 90.00
_space_group_name_H-M_alt 'C 1 2/m 1'
_space_group_IT_number 12
_space_group_name_Hall '-C 2y'
loop_
_atom_site_label
_atom_site_type_symbol
_atom_site_fract_x
_atom_site_fract_y
_atom_site_fract_z
Dy1 Dy 0.2465 0.0000 0.1305
Dy2 Dy 0.2479 0.5000 0.3716
Er1 Er 0.0000 0.5000 0.5000
Sc1 Sc 0.0000 0.0000 0.0000
Sc2 Sc 0.0515 0.0000 0.7115
Sc3 Sc 0.0532 0.5000 0.9016